Entry 1:
# BaCuSn4 | Alexandria via LeMat-Bulk | PBE | optimized geometry
data_BaCuSn4
_chemical_formula_sum 'Ba4 Cu4 Sn16'
_cell_length_a 4.7939
_cell_length_b 18.5731
_cell_length_c 7.3654
_cell_angle_alpha 90.00
_cell_angle_beta 90.00
_cell_angle_gamma 90.00
_symmetry_space_group_name_H-M 'C m c m'
_symmetry_Int_Tables_number 63
_symmetry_space_group_name_Hall '-C 2c 2'
loop_
_atom_site_label
_atom_site_fract_x
_atom_site_fract_y
_atom_site_fract_z
_atom_site_occupancy
Ba1 0.0000 0.1147 0.2500 1
Cu1 0.0000 0.2193 0.7500 1
Sn1 0.0000 0.0745 0.7500 1
Sn2 0.0000 0.3108 0.0484 1
Sn3 0.0000 0.5000 0.0000 1
# Density of states at the Fermi level in states/eV/f.u.: 1.9
# Energy of formation from the pure elements in eV/atom: -0.2760
# Energy relative to the lowest polymorph listed for this composition in meV per atom: 0

Entry 2:
# BaTa2Re | Alexandria via LeMat-Bulk | PBE | optimized geometry
data_BaTa2Re
_chemical_formula_sum 'Ba2 Ta4 Re2'
_cell_length_a 3.0325
_cell_length_b 5.7347
_cell_length_c 10.8007
_cell_angle_alpha 90.00
_cell_angle_beta 90.00
_cell_angle_gamma 90.00
_symmetry_space_group_name_H-M 'I m m m'
_symmetry_Int_Tables_number 71
_symmetry_space_group_name_Hall '-I 2 2'
loop_
_atom_site_label
_atom_site_fract_x
_atom_site_fract_y
_atom_site_fract_z
_atom_site_occupancy
Ba1 0.0000 0.0000 0.0000 1
Ta1 0.0000 0.5000 0.1991 1
Re1 0.0000 0.0000 0.5000 1
# Density of states at the Fermi level in states/eV/f.u.: 4.5
# Energy of formation from the pure elements in eV/atom: 0.9309
# Energy relative to the lowest polymorph listed for this composition in meV per atom: 428

Entry 3:
# TiAsN2F | Alexandria via LeMat-Bulk | PBE | optimized geometry
data_TiAsN2F
_chemical_formula_sum 'Ti1 As1 N2 F1'
_cell_length_a 3.8862
_cell_length_b 3.8862
_cell_length_c 3.8069
_cell_angle_alpha 90.00
_cell_angle_beta 90.00
_cell_angle_gamma 90.00
_symmetry_space_group_name_H-M 'P 4/m m m'
_symmetry_Int_Tables_number 123
_symmetry_space_group_name_Hall '-P 4 2'
loop_
_atom_site_label
_atom_site_fract_x
_atom_site_fract_y
_atom_site_fract_z
_atom_site_occupancy
Ti1 0.0000 0.0000 0.0000 1
As1 0.5000 0.5000 0.5000 1
N1 0.0000 0.5000 0.5000 1
F1 0.5000 0.5000 0.0000 1
# Density of states at the Fermi level in states/eV/f.u.: 2.9
# E_form (uncorrected) in eV per atom: 0.2303
# Energy relative to the lowest polymorph listed for this composition in meV per atom: 568

Entry 4:
# La2PtPb | Alexandria via LeMat-Bulk | PBE | optimized geometry
data_La2PtPb
_chemical_formula_sum 'La2 Pt1 Pb1'
_cell_length_a 4.4842
_cell_length_b 4.4842
_cell_length_c 6.4889
_cell_angle_alpha 90.00
_cell_angle_beta 90.00
_cell_angle_gamma 90.00
_symmetry_space_group_name_H-M 'P 4 m m'
_symmetry_Int_Tables_number 99
loop_
_symmetry_equiv_pos_as_xyz
'x,y,z'
'-y,x,z'
'-x,-y,z'
'y,-x,z'
'-x,y,z'
'y,x,z'
'x,-y,z'
'-y,-x,z'
loop_
_atom_site_label
_atom_site_fract_x
_atom_site_fract_y
_atom_site_fract_z
_atom_site_occupancy
La1 0.0000 0.0000 0.0000 1
La2 0.5000 0.5000 0.4287 1
Pt1 0.5000 0.5000 0.9862 1
Pb1 0.0000 0.0000 0.5065 1
# Density of states at the Fermi level in states/eV/f.u.: 2.1
# Energy of formation from the pure elements in eV/atom: -0.6507

Entry 5:
# MgTaNi4 | Alexandria via LeMat-Bulk | PBE | optimized geometry
data_MgTaNi4
_chemical_formula_sum 'Mg1 Ta1 Ni4'
_cell_length_a 2.6963
_cell_length_b 4.2045
_cell_length_c 7.3196
_cell_angle_alpha 90.00
_cell_angle_beta 90.00
_cell_angle_gamma 90.00
_symmetry_space_group_name_H-M 'P m m m'
_symmetry_Int_Tables_number 47
loop_
_symmetry_equiv_pos_as_xyz
'x,y,z'
'-x,-y,-z'
'-x,-y,z'
'x,y,-z'
'x,-y,-z'
'-x,y,z'
'-x,y,-z'
'x,-y,z'
loop_
_atom_site_label
_atom_site_fract_x
_atom_site_fract_y
_atom_site_fract_z
_atom_site_occupancy
Mg1 0.0000 0.0000 0.0000 1
Ta1 0.5000 0.5000 0.5000 1
Ni1 0.0000 0.5000 0.2019 1
Ni2 0.5000 0.0000 0.3118 1
# Density of states at the Fermi level in states/eV/f.u.: 4.3
# Energy of formation from the pure elements in eV/atom: 0.0423

Entry 6:
# Ac12LaCo7 | Alexandria via LeMat-Bulk | PBE | optimized geometry
data_Ac12LaCo7
_chemical_formula_sum 'Ac36 La3 Co21'
_cell_length_a 14.9333
_cell_length_b 14.9333
_cell_length_c 10.1986
_cell_angle_alpha 90.00
_cell_angle_beta 90.00
_cell_angle_gamma 120.00
_symmetry_space_group_name_H-M 'R -3'
_symmetry_Int_Tables_number 148
_symmetry_space_group_name_Hall '-R 3'
loop_
_atom_site_label
_atom_site_fract_x
_atom_site_fract_y
_atom_site_fract_z
_atom_site_occupancy
Ac1 0.0262 0.4403 0.1602 1
Ac2 0.0474 0.8772 0.8274 1
La1 0.0000 0.0000 0.5000 1
Co1 0.0000 0.0000 0.0000 1
Co2 0.0446 0.8579 0.3332 1
# Density of states at the Fermi level in states/eV/f.u.: 16.4
# Energy of formation from the pure elements in eV/atom: -0.0217

Entry 7:
# UVAs2N | Alexandria via LeMat-Bulk | PBE | optimized geometry
data_UVAs2N
_chemical_formula_sum 'U2 V2 As4 N2'
_cell_length_a 3.6512
_cell_length_b 3.6512
_cell_length_c 12.3821
_cell_angle_alpha 90.00
_cell_angle_beta 90.00
_cell_angle_gamma 90.00
_symmetry_space_group_name_H-M 'P 4/n m m'
_symmetry_Int_Tables_number 129
loop_
_symmetry_equiv_pos_as_xyz
'x,y,z'
'-x,-y,-z'
'-y+1/2,x,z'
'y+1/2,-x,-z'
'-x+1/2,-y+1/2,z'
'x+1/2,y+1/2,-z'
'y,-x+1/2,z'
'-y,x+1/2,-z'
'x+1/2,-y,-z'
'-x+1/2,y,z'
'-y,-x,-z'
'y,x,z'
'-x,y+1/2,-z'
'x,-y+1/2,z'
'y+1/2,x+1/2,-z'
'-y+1/2,-x+1/2,z'
loop_
_atom_site_label
_atom_site_fract_x
_atom_site_fract_y
_atom_site_fract_z
_atom_site_occupancy
U1 0.2500 0.2500 0.1015 1
V1 0.2500 0.2500 0.5742 1
As1 0.2500 0.2500 0.3728 1
As2 0.2500 0.2500 0.7805 1
N1 0.2500 0.7500 0.0000 1
# Density of states at the Fermi level in states/eV/f.u.: 5.1
# E_form (uncorrected) in eV per atom: -0.7128

Entry 8:
# Zn3Ag3Pd | Alexandria via LeMat-Bulk | PBE | optimized geometry
data_Zn3Ag3Pd
_chemical_formula_sum 'Zn12 Ag12 Pd4'
_cell_length_a 6.7743
_cell_length_b 11.0313
_cell_length_c 6.8324
_cell_angle_alpha 90.00
_cell_angle_beta 104.64
_cell_angle_gamma 90.00
_symmetry_space_group_name_H-M 'C 1 2/m 1'
_symmetry_Int_Tables_number 12
loop_
_symmetry_equiv_pos_as_xyz
'x,y,z'
'-x,-y,-z'
'-x,y,-z'
'x,-y,z'
'x+1/2,y+1/2,z'
'-x+1/2,-y+1/2,-z'
'-x+1/2,y+1/2,-z'
'x+1/2,-y+1/2,z'
loop_
_atom_site_label
_atom_site_fract_x
_atom_site_fract_y
_atom_site_fract_z
_atom_site_occupancy
Zn1 0.1756 0.1616 0.1956 1
Zn2 0.1802 0.0000 0.4902 1
Ag1 0.0000 0.2543 0.5000 1
Ag2 0.0000 0.3439 0.0000 1
Ag3 0.1511 0.0000 0.8701 1
Pd1 0.0473 0.5000 0.7080 1
# Density of states at the Fermi level in states/eV/f.u.: 2.2
# Energy of formation from the pure elements in eV/atom: 0.0123

Entry 9:
# Cs2As2Au7 | Alexandria via LeMat-Bulk | PBE | optimized geometry
data_Cs2As2Au7
_chemical_formula_sum 'Cs4 As4 Au14'
_cell_length_a 9.5907
_cell_length_b 14.5819
_cell_length_c 5.0218
_cell_angle_alpha 90.00
_cell_angle_beta 92.73
_cell_angle_gamma 90.00
_symmetry_space_group_name_H-M 'C 1 2/m 1'
_symmetry_Int_Tables_number 12
loop_
_symmetry_equiv_pos_as_xyz
'x,y,z'
'-x,-y,-z'
'-x,y,-z'
'x,-y,z'
'x+1/2,y+1/2,z'
'-x+1/2,-y+1/2,-z'
'-x+1/2,y+1/2,-z'
'x+1/2,-y+1/2,z'
loop_
_atom_site_label
_atom_site_fract_x
_atom_site_fract_y
_atom_site_fract_z
_atom_site_occupancy
Cs1 0.0000 0.2043 0.0000 1
As1 0.2327 0.0000 0.3716 1
Au1 0.0000 0.5000 0.5000 1
Au2 0.1778 0.5000 0.0826 1
Au3 0.2200 0.3375 0.4878 1
# Density of states at the Fermi level in states/eV/f.u.: 1.8
# Energy of formation from the pure elements in eV/atom: -0.1342

Entry 10:
# Ca2TlCr | Alexandria via LeMat-Bulk | PBE | optimized geometry
data_Ca2TlCr
_chemical_formula_sum 'Ca8 Tl4 Cr4'
_cell_length_a 8.5315
_cell_length_b 8.5315
_cell_length_c 6.7292
_cell_angle_alpha 90.00
_cell_angle_beta 90.00
_cell_angle_gamma 90.00
_symmetry_space_group_name_H-M 'I -4 2 d'
_symmetry_Int_Tables_number 122
_symmetry_space_group_name_Hall 'I -4 2bw'
loop_
_atom_site_label
_atom_site_fract_x
_atom_site_fract_y
_atom_site_fract_z
_atom_site_occupancy
Ca1 0.2436 0.2500 0.1250 1
Tl1 0.0000 0.0000 0.5000 1
Cr1 0.0000 0.0000 0.0000 1
# Density of states at the Fermi level in states/eV/f.u.: 2.6
# Energy of formation from the pure elements in eV/atom: 0.4270
# Energy relative to the lowest polymorph listed for this composition in meV per atom: 336

Entry 11:
# MnPt2Rh | Alexandria via LeMat-Bulk | PBE | optimized geometry
data_MnPt2Rh
_chemical_formula_sum 'Mn2 Pt4 Rh2'
_cell_length_a 9.1492
_cell_length_b 2.8241
_cell_length_c 4.7185
_cell_angle_alpha 90.00
_cell_angle_beta 101.28
_cell_angle_gamma 90.00
_symmetry_space_group_name_H-M 'C 1 2/m 1'
_symmetry_Int_Tables_number 12
loop_
_symmetry_equiv_pos_as_xyz
'x,y,z'
'-x,-y,-z'
'-x,y,-z'
'x,-y,z'
'x+1/2,y+1/2,z'
'-x+1/2,-y+1/2,-z'
'-x+1/2,y+1/2,-z'
'x+1/2,-y+1/2,z'
loop_
_atom_site_label
_atom_site_fract_x
_atom_site_fract_y
_atom_site_fract_z
_atom_site_occupancy
Mn1 0.0000 0.0000 0.0000 1
Pt1 0.2470 0.5000 0.2496 1
Rh1 0.0000 0.5000 0.5000 1
# Density of states at the Fermi level in states/eV/f.u.: 6.7
# Energy of formation from the pure elements in eV/atom: -0.1580

Entry 12:
# LiCe2Sn4Pt3 | Alexandria via LeMat-Bulk | PBE | optimized geometry
data_LiCe2Sn4Pt3
_chemical_formula_sum 'Li1 Ce2 Sn4 Pt3'
_cell_length_a 4.4780
_cell_length_b 4.4780
_cell_length_c 11.2447
_cell_angle_alpha 90.00
_cell_angle_beta 90.00
_cell_angle_gamma 90.00
_symmetry_space_group_name_H-M 'P -4 m 2'
_symmetry_Int_Tables_number 115
loop_
_symmetry_equiv_pos_as_xyz
'x,y,z'
'y,-x,-z'
'-x,-y,z'
'-y,x,-z'
'-x,y,z'
'-y,-x,-z'
'x,-y,z'
'y,x,-z'
loop_
_atom_site_label
_atom_site_fract_x
_atom_site_fract_y
_atom_site_fract_z
_atom_site_occupancy
Li1 0.0000 0.0000 0.0000 1
Ce1 0.0000 0.5000 0.7553 1
Sn1 0.0000 0.0000 0.5000 1
Sn2 0.0000 0.5000 0.1312 1
Sn3 0.5000 0.5000 0.5000 1
Pt1 0.0000 0.5000 0.3643 1
Pt2 0.5000 0.5000 0.0000 1
# Density of states at the Fermi level in states/eV/f.u.: 15.2
# Energy of formation from the pure elements in eV/atom: -0.7532

Entry 13:
# BaNaMn2W | Alexandria via LeMat-Bulk | PBE | optimized geometry
data_BaNaMn2W
_chemical_formula_sum 'Ba1 Na1 Mn2 W1'
_cell_length_a 4.8779
_cell_length_b 4.8779
_cell_length_c 5.1863
_cell_angle_alpha 90.00
_cell_angle_beta 90.00
_cell_angle_gamma 90.00
_symmetry_space_group_name_H-M 'P 4/m m m'
_symmetry_Int_Tables_number 123
_symmetry_space_group_name_Hall '-P 4 2'
loop_
_atom_site_label
_atom_site_fract_x
_atom_site_fract_y
_atom_site_fract_z
_atom_site_occupancy
Ba1 0.0000 0.0000 0.0000 1
Na1 0.5000 0.5000 0.5000 1
Mn1 0.0000 0.5000 0.0000 1
W1 0.0000 0.0000 0.5000 1
# Density of states at the Fermi level in states/eV/f.u.: 8.7
# Energy of formation from the pure elements in eV/atom: 2.9939